[1]
Compound: HfAl
Source: the Alexandria database
Functional: PBE
Structure: relaxed

The calculation puts the density at 8.100 g/cm3. For the volume, the calculation gives 337.0 Å³/cell. The calculation puts the calculated formation energy at 0.07 eV per atom.

The structure belongs to space group P4/m (No. 83); the cell edges are 8.4933, 8.4933 and 4.6714 Å and the angles 90.00°, 90.00° and 90.00°. The asymmetric unit holds Hf at (0.0560, 0.3142, 0.0000), Hf at (0.1364, 0.7949, 0.5000), Al at (0.1667, 0.4657, 0.5000) and Al at (0.2878, 0.6051, 0.0000).

***

[2]
Compound: Hf2Al3
Source: the Alexandria database
Functional: PBE
Structure: relaxed

The calculation puts the energy above the most stable polymorph in this dataset at 138 meV/atom. The calculation puts the density at 7.865 g/cm3. For the volume, the calculation gives 184.9 Å³/cell. The calculation puts the calculated formation energy at -0.29 eV per atom.

The structure belongs to space group C2/m (No. 12); the cell edges are 9.9175, 3.6857 and 6.7620 Å and the angles 90.00°, 131.57° and 90.00°. The asymmetric unit holds Hf at (0.0928, 0.0000, 0.3922), Al at (0.0000, 0.5000, 0.0000) and Al at (0.2184, 0.5000, 0.8244).

***

[3]
Compound: HfAl
Source: the Alexandria database
Functional: PBE
Structure: relaxed

The calculation puts the density at 7.953 g/cm3. For the volume, the calculation gives 257.4 Å³/cell. The calculation puts the calculated formation energy at 0.05 eV per atom.

The structure belongs to space group P6_3/m (No. 176); the cell edges are 7.6721, 7.6721 and 5.0496 Å and the angles 90.00°, 90.00° and 120.00°. The asymmetric unit holds Hf at (0.0583, 0.2541, 0.2500) and Al at (0.1101, 0.4866, 0.7500).

***

[4]
Compound: Hf2Al3
Source: the Alexandria database
Functional: PBE
Structure: relaxed

The calculation puts the energy above the most stable polymorph in this dataset at 0 meV/atom. The calculation puts the density at 7.989 g/cm3. For the volume, the calculation gives 728.2 Å³/cell. The calculation puts the calculated formation energy at -0.43 eV per atom.

The structure belongs to space group Fdd2 (No. 43); the cell edges are 9.5396, 13.8198 and 5.5236 Å and the angles 90.00°, 90.00° and 90.00°. The asymmetric unit holds Hf at (0.0655, 0.1970, 0.0000), Al at (0.0000, 0.0000, 0.1311) and Al at (0.0676, 0.1144, 0.5090).

***

[5]
Compound: Hf6Al7
Source: the Alexandria database
Functional: PBE
Structure: relaxed

The calculation puts the density at 8.754 g/cm3. For the volume, the calculation gives 716.9 Å³/cell. The calculation puts the calculated formation energy at -0.43 eV per atom.

The structure belongs to space group R-3m (No. 166, hexagonal axes); the cell edges are 5.3219, 5.3219 and 29.2280 Å and the angles 90.00°, 90.00° and 120.00°. The asymmetric unit holds Hf at (0.0000, 0.0000, 0.0459), Hf at (0.0000, 0.0000, 0.1491), Hf at (0.0000, 0.0000, 0.3343), Al at (0.0000, 0.0000, 0.5000) and Al at (0.0046, 0.5023, 0.9093).

***

[6]
Compound: HfAl
Source: the Alexandria database
Functional: PBE
Structure: relaxed

The calculation puts the density at 8.432 g/cm3. For the volume, the calculation gives 647.5 Å³/cell. The calculation puts the calculated formation energy at -0.03 eV per atom.

The structure belongs to space group Fddd (No. 70, origin choice 2); the cell edges are 6.8138, 8.7297 and 10.8850 Å and the angles 90.00°, 90.00° and 90.00°. The asymmetric unit holds Hf at (0.1250, 0.3284, 0.1250) and Al at (0.0596, 0.3750, 0.8750).

***

[7]
Compound: HfAl
Source: the Alexandria database
Functional: PBE
Structure: relaxed

The calculation puts the density at 6.243 g/cm3. For the volume, the calculation gives 109.3 Å³/cell. The calculation puts the calculated formation energy at 0.83 eV per atom.

The structure belongs to space group P6_3/mmc (No. 194); the cell edges are 4.8223, 4.8223 and 5.4277 Å and the angles 90.00°, 90.00° and 120.00°. The asymmetric unit holds Hf at (0.3333, 0.6667, 0.2500) and Al at (0.3333, 0.6667, 0.7500).

***

[8]
Compound: HfAl
Source: the Alexandria database
Functional: PBE
Structure: relaxed

The calculation puts the density at 8.779 g/cm3. For the volume, the calculation gives 310.9 Å³/cell. The calculation puts the calculated formation energy at -0.31 eV per atom.

The structure belongs to space group P2_12_12_1 (No. 19); the cell edges are 5.4638, 5.4638 and 10.4151 Å and the angles 90.00°, 90.00° and 90.00°. The asymmetric unit holds Hf at (0.1131, 0.1226, 0.0088), Hf at (0.1246, 0.6044, 0.8037), Al at (0.1361, 0.8918, 0.2735) and Al at (0.1673, 0.6163, 0.0728).

***

[9]
Compound: Hf3Al2
Source: the Alexandria database
Functional: PBE
Structure: relaxed

The calculation puts the density at 9.909 g/cm3. For the volume, the calculation gives 395.1 Å³/cell. The calculation puts the calculated formation energy at -0.33 eV per atom.

The structure belongs to space group P4_2/mnm (No. 136); the cell edges are 7.5507, 7.5507 and 6.9303 Å and the angles 90.00°, 90.00° and 90.00°. The asymmetric unit holds Hf at (0.0000, 0.5000, 0.2500), Hf at (0.1520, 0.1520, 0.0000), Hf at (0.2065, 0.2065, 0.5000) and Al at (0.1212, 0.8788, 0.2938).

***

[10]
Compound: HfAl
Source: the Alexandria database
Functional: PBE
Structure: relaxed

The calculation puts the density at 8.209 g/cm3. For the volume, the calculation gives 332.5 Å³/cell. The calculation puts the calculated formation energy at 0.06 eV per atom.

The structure belongs to space group I4/m (No. 87); the cell edges are 7.8491, 7.8491 and 5.3973 Å and the angles 90.00°, 90.00° and 90.00°. The asymmetric unit holds Hf at (0.0552, 0.6885, 0.0000) and Al at (0.0920, 0.7879, 0.5000).

***

[11]
Compound: HfAl
Source: the Alexandria database
Functional: PBE
Structure: relaxed

The calculation puts the density at 8.988 g/cm3. For the volume, the calculation gives 303.7 Å³/cell. The calculation puts the calculated formation energy at -0.36 eV per atom.

The structure belongs to space group Cmcm (No. 63); the cell edges are 8.4673, 6.8143 and 5.2633 Å and the angles 90.00°, 90.00° and 90.00°. The asymmetric unit holds Hf at (0.1951, 0.1553, 0.2500), Al at (0.0000, 0.1672, 0.7500) and Al at (0.0000, 0.5000, 0.0000).

***

[12]
Compound: Hf3Al7
Source: the Alexandria database
Functional: PBE
Structure: relaxed

The calculation puts the density at 6.851 g/cm3. For the volume, the calculation gives 351.1 Å³/cell. The calculation puts the calculated formation energy at -0.40 eV per atom.

The structure belongs to space group C2/m (No. 12); the cell edges are 15.1191, 4.0441 and 5.8271 Å and the angles 90.00°, 99.77° and 90.00°. The asymmetric unit holds Hf at (0.0000, 0.0000, 0.0000), Hf at (0.1883, 0.0000, 0.5917), Al at (0.0000, 0.0000, 0.5000), Al at (0.0968, 0.5000, 0.7955), Al at (0.1048, 0.5000, 0.2879) and Al at (0.2061, 0.0000, 0.0995).